*one*
A plane-wave DFT calculation with PBE-GGA was carried out for a relaxed BaTc2Cl crystal.

Cell lengths 6.9410, 6.9410, 6.9410 Å; angles 90.00, 90.00, 90.00 degrees
Last column: nearest neighbours and their distance in Å.
Space group Fm-3m (No. 225)
One atom of each set of equivalent atoms:
Ba 0.0000 0.0000 0.0000 [4 per cell]  8 Tc 3.01
Tc 0.2500 0.2500 0.2500 [8 per cell]  4 Ba 3.01, 4 Cl 3.01
Cl 0.0000 0.0000 0.5000 [4 per cell]  8 Tc 3.01

Values from the calculation:
**ρ**: 7.3 g/cm³
**Size of the total moment**: 1.0215 μB/atom


*two*
A plane-wave DFT calculation with PBE-GGA was carried out for a relaxed BaTc2Cl crystal.

Cell lengths 4.3951, 3.4070, 6.6634 Å; angles 90.00, 90.06, 90.00 degrees
Last column: nearest neighbours and their distance in Å.
Space group P2/m (No. 10)
One atom of each set of equivalent atoms:
Ba 0.0000 0.0000 0.0000 [1 per cell]  4 Cl 2.78
Tc 0.0000 0.5000 0.5000 [1 per cell]  4 Tc 2.78
Tc 0.5000 0.0000 0.5000 [1 per cell]  4 Tc 2.78
Cl 0.5000 0.5000 0.0000 [1 per cell]  4 Ba 2.78

Values from the calculation:
**ρ**: 6.1 g/cm³
**Size of the total moment**: 0.2555 μB/atom


*two* takes first place; second place is 985 meV/atom up.


*one*
A plane-wave DFT calculation with PBE-GGA was carried out for a relaxed BaTc2Cl crystal.

Cell lengths 6.9155, 6.9155, 6.9155 Å; angles 90.00, 90.00, 90.00 degrees
Last column: nearest neighbours and their distance in Å.
Space group F-43m (No. 216)
One atom of each set of equivalent atoms:
Ba 0.0000 0.0000 0.0000 [4 per cell]  4 Cl 2.99, 4 Tc 2.99
Tc 0.0000 0.0000 0.5000 [4 per cell]  4 Cl 2.99, 4 Tc 2.99
Tc 0.2500 0.2500 0.2500 [4 per cell]  4 Ba 2.99, 4 Tc 2.99
Cl 0.2500 0.2500 0.7500 [4 per cell]  4 Ba 2.99, 4 Tc 2.99

Values from the calculation:
**ρ**: 7.4 g/cm³
**Size of the total moment**: 0.0006 μB/atom


*two*
A plane-wave DFT calculation with PBE-GGA was carried out for a relaxed BaTc2Cl crystal.

Cell lengths 12.9070, 3.4598, 5.0592 Å; angles 90.00, 111.62, 90.00 degrees
Last column: nearest neighbours and their distance in Å.
Space group C2/m (No. 12)
One atom of each set of equivalent atoms:
Ba 0.0000 0.0000 0.0000 [2 per cell]  4 Cl 3.06, 2 Tc 3.33
Tc 0.2283 0.0000 0.8396 [4 per cell]  2 Tc 2.30
Cl 0.0000 0.5000 0.5000 [2 per cell]  4 Ba 3.06, 4 Tc 3.30

Values from the calculation:
**ρ**: 5.8 g/cm³
**Size of the total moment**: 0.0000 μB/atom


*two* takes first place; second place is 634 meV/atom up.


*one*
A plane-wave DFT calculation with PBE-GGA was carried out for a relaxed Ba2TcCl crystal.

Cell lengths 3.6493, 5.3221, 14.1289 Å; angles 90.00, 90.00, 90.00 degrees
Last column: nearest neighbours and their distance in Å.
Space group Imm2 (No. 44)
One atom of each set of equivalent atoms:
Ba 0.0000 0.0000 0.0000 [2 per cell]  4 Cl 3.23, 2 Tc 3.48
Ba 0.0000 0.5000 0.2039 [2 per cell]  4 Tc 3.23, 2 Cl 3.49
Tc 0.0000 0.5000 0.7095 [2 per cell]  6 Ba 3.23-3.48
Cl 0.0000 0.0000 0.4930 [2 per cell]  6 Ba 3.23-3.49

Values from the calculation:
**ρ**: 4.9 g/cm³
**Size of the total moment**: 0.4167 μB/atom


*two*
A plane-wave DFT calculation with PBE-GGA was carried out for a relaxed Ba2TcCl crystal.

Cell lengths 8.1162, 8.1162, 9.5337 Å; angles 90.00, 90.00, 90.00 degrees
Last column: nearest neighbours and their distance in Å.
Space group I-42d (No. 122)
One atom of each set of equivalent atoms:
Ba 0.2455 0.2500 0.1250 [8 per cell]  2 Tc 3.08, 2 Cl 3.13
Tc 0.0000 0.0000 0.0000 [4 per cell]  4 Ba 3.08
Cl 0.0000 0.0000 0.5000 [4 per cell]  4 Ba 3.13

Values from the calculation:
**ρ**: 4.3 g/cm³
**Size of the total moment**: 0.5000 μB/atom


*two* takes first place; second place is 12 meV/atom up.


*one*
A plane-wave DFT calculation with PBE-GGA was carried out for a relaxed Ba2TcCl crystal.

Cell lengths 3.8076, 5.2972, 6.2889 Å; angles 90.00, 90.00, 90.00 degrees
Last column: nearest neighbours and their distance in Å.
Space group Pmmm (No. 47)
One atom of each set of equivalent atoms:
Ba 0.0000 0.0000 0.0000 [1 per cell]  2 Tc 3.14, 4 Cl 3.26
Ba 0.5000 0.5000 0.5000 [1 per cell]  2 Cl 3.14, 4 Tc 3.26
Tc 0.0000 0.0000 0.5000 [1 per cell]  6 Ba 3.14-3.26
Cl 0.5000 0.5000 0.0000 [1 per cell]  6 Ba 3.14-3.26

Values from the calculation:
**ρ**: 5.3 g/cm³
**Size of the total moment**: 0.4338 μB/atom


*two*
A plane-wave DFT calculation with PBE-GGA was carried out for a relaxed Ba2TcCl crystal.

Cell lengths 7.9469, 7.9469, 7.9469 Å; angles 90.00, 90.00, 90.00 degrees
Last column: nearest neighbours and their distance in Å.
Space group F-43m (No. 216)
One atom of each set of equivalent atoms:
Ba 0.0000 0.0000 0.0000 [4 per cell]  4 Ba 3.44, 4 Tc 3.44
Ba 0.2500 0.2500 0.2500 [4 per cell]  4 Ba 3.44, 4 Cl 3.44
Tc 0.2500 0.2500 0.7500 [4 per cell]  4 Ba 3.44, 4 Cl 3.44
Cl 0.0000 0.0000 0.5000 [4 per cell]  4 Tc 3.44, 4 Ba 3.44

Values from the calculation:
**ρ**: 5.4 g/cm³
**Size of the total moment**: 0.5473 μB/atom


*three*
A plane-wave DFT calculation with PBE-GGA was carried out for a relaxed Ba2TcCl crystal.

Cell lengths 7.6510, 4.3718, 8.8743 Å; angles 90.00, 106.37, 90.00 degrees
Last column: nearest neighbours and their distance in Å.
Space group C2/m (No. 12)
One atom of each set of equivalent atoms:
Ba 0.2464 0.0000 0.2369 [4 per cell]  3 Tc 3.24, 3 Cl 3.38-3.39
Tc 0.0000 0.5000 0.0000 [2 per cell]  6 Ba 3.24
Cl 0.0000 0.0000 0.5000 [2 per cell]  6 Ba 3.38-3.39

Values from the calculation:
**ρ**: 4.8 g/cm³
**Size of the total moment**: 0.5518 μB/atom


*one* takes first place; second place is 60 meV/atom up.


*one*
A plane-wave DFT calculation with PBE-GGA was carried out for a relaxed Ba2TcCl crystal.

Cell lengths 3.7301, 3.7382, 8.7503 Å; angles 90.00, 90.06, 90.00 degrees
Last column: nearest neighbours and their distance in Å.
Space group P2/m (No. 10)
One atom of each set of equivalent atoms:
Ba 0.0007 0.0000 0.2620 [2 per cell]  4 Tc 3.36-3.37, 4 Cl 3.50, 4 Ba 3.73-3.74
Tc 0.5000 0.5000 0.5000 [1 per cell]  8 Ba 3.36-3.37, 4 Tc 3.73-3.74
Cl 0.5000 0.5000 0.0000 [1 per cell]  8 Ba 3.50, 4 Cl 3.73-3.74

Values from the calculation:
**ρ**: 5.6 g/cm³
**Size of the total moment**: 0.3493 μB/atom


*two*
A plane-wave DFT calculation with PBE-GGA was carried out for a relaxed Ba2TcCl crystal.

Cell lengths 5.4886, 3.6712, 12.0914 Å; angles 90.00, 90.00, 90.00 degrees
Last column: nearest neighbours and their distance in Å.
Space group Amm2 (No. 38)
One atom of each set of equivalent atoms:
Ba 0.0000 0.0000 0.0000 [2 per cell]  3 Cl 3.15-3.43, 4 Tc 3.30
Ba 0.5000 0.0000 0.2557 [2 per cell]  1 Tc 2.93
Tc 0.5000 0.0000 0.4982 [2 per cell]  1 Ba 2.93
Cl 0.0000 0.0000 0.7393 [2 per cell]  7 Ba 3.15-3.43

Values from the calculation:
**ρ**: 5.6 g/cm³
**Size of the total moment**: 0.3995 μB/atom


*three*
A plane-wave DFT calculation with PBE-GGA was carried out for a relaxed Ba2TcCl crystal.

Cell lengths 4.5031, 4.5031, 13.7973 Å; angles 90.00, 90.00, 90.00 degrees
Last column: nearest neighbours and their distance in Å.
Space group I-4m2 (No. 119)
One atom of each set of equivalent atoms:
Ba 0.0000 0.0000 0.0000 [2 per cell]  4 Tc 3.18
Ba 0.0000 0.5000 0.2500 [2 per cell]  4 Cl 3.18
Tc 0.0000 0.0000 0.5000 [2 per cell]  4 Ba 3.18
Cl 0.0000 0.5000 0.7500 [2 per cell]  4 Ba 3.18

Values from the calculation:
**ρ**: 4.8 g/cm³
**Size of the total moment**: 0.5536 μB/atom


*four*
A plane-wave DFT calculation with PBE-GGA was carried out for a relaxed Ba2TcCl crystal.

Cell lengths 8.0031, 8.0031, 8.0031 Å; angles 90.00, 90.00, 90.00 degrees
Last column: nearest neighbours and their distance in Å.
Space group Fm-3m (No. 225)
One atom of each set of equivalent atoms:
Ba 0.2500 0.2500 0.2500 [8 per cell]  4 Cl 3.47, 4 Tc 3.47
Tc 0.0000 0.0000 0.0000 [4 per cell]  8 Ba 3.47
Cl 0.0000 0.0000 0.5000 [4 per cell]  8 Ba 3.47

Values from the calculation:
**ρ**: 5.3 g/cm³
**Size of the total moment**: 0.5043 μB/atom


*one* takes first place; second place is 17 meV/atom up.


*one*
A plane-wave DFT calculation with PBE-GGA was carried out for a relaxed Ba2TcCl2 crystal.

Cell lengths 8.8605, 8.8605, 4.0661 Å; angles 90.00, 90.00, 90.00 degrees
Last column: nearest neighbours and their distance in Å.
Space group P4/mbm (No. 127)
One atom of each set of equivalent atoms:
Ba 0.1802 0.3198 0.0000 [4 per cell]  6 Cl 3.16-3.43, 2 Tc 3.25
Tc 0.0000 0.0000 0.0000 [2 per cell]  4 Ba 3.25
Cl 0.1270 0.6270 0.5000 [4 per cell]  6 Ba 3.16-3.43, 1 Cl 3.18

Values from the calculation:
**ρ**: 4.6 g/cm³
**Size of the total moment**: 0.5958 μB/atom


*two*
A plane-wave DFT calculation with PBE-GGA was carried out for a relaxed Ba2TcCl2 crystal.

Cell lengths 4.8005, 4.8005, 16.2224 Å; angles 90.00, 90.00, 90.00 degrees
Last column: nearest neighbours and their distance in Å.
Space group I4/mmm (No. 139)
One atom of each set of equivalent atoms:
Ba 0.0000 0.0000 0.1286 [4 per cell]  4 Cl 3.10
Tc 0.0000 0.0000 0.5000 [2 per cell]  8 Ba 3.98
Cl 0.0000 0.5000 0.2500 [4 per cell]  4 Ba 3.10, 4 Cl 3.39

Values from the calculation:
**ρ**: 3.9 g/cm³
**Size of the total moment**: 0.6001 μB/atom


*two* takes first place; second place is 26 meV/atom up.